Record 1
This record from Alexandria via LeMat-Bulk describes a geometry-optimized Sr2ScRuSe structure. The functional is PBE.

Lattice parameters (Å, degrees): 5.979 5.979 4.627 90.00 90.00 90.00
Space group P4/mmm (No. 123)
Asymmetric unit:
Sr 0.000 0.500 0.000 (multiplicity 2)
Sc 0.000 0.000 0.500 (multiplicity 1)
Ru 0.500 0.500 0.000 (multiplicity 1)
Se 0.500 0.500 0.500 (multiplicity 1)

DOS(E_F): 0.932 states/eV per atom
Calculated total energy: -21.61 eV/cell
Formation energy (no corrections): 169 meV per atom
Magnetization: 0.3052 μB/atom



Record 2
This record from Alexandria via LeMat-Bulk describes a geometry-optimized LiPtPb structure. The functional is PBE.

Lattice parameters (Å, degrees): 4.7356 4.7356 3.0451 90.00 90.00 120.00
Space group P3m1 (No. 156)
Asymmetric unit:
Li 0.0000 0.0000 0.0000 (multiplicity 1)
Pt 0.3333 0.6667 0.5040 (multiplicity 1)
Pb 0.6667 0.3333 0.4994 (multiplicity 1)

DOS(E_F): 0.324 states/eV per atom
Calculated total energy: -12.53 eV/cell
ΔE_f: -0.87 eV/f.u.
Magnetization: 0.0000 μB/atom